No. 1
Below is a geometry-optimized KLi2MoO4 structure, with properties calculated at the GGA+U level.

Cell lengths 5.3295, 5.3295, 5.3295 Å; angles 117.18, 117.18, 94.95 degrees
Last column: magnetic moment on the atom in μB.
Positions (direct):
1 K 0.5000 0.5000 0.0000  0.00
2 Li 0.7500 0.2500 0.5000  0.00
3 Li 0.2500 0.7500 0.5000  0.00
4 Mo 0.0000 0.0000 0.0000  0.87
5 O 0.6567 0.6567 0.6031  0.02
6 O 0.9464 0.3433 0.0000  0.02
7 O 0.3433 0.9464 0.0000  0.02
8 O 0.0536 0.0536 0.3969  0.02

No. 2
Below is a geometry-optimized KLi2Mo2O7 structure, with properties calculated at the GGA+U level.

Cell lengths 5.8100, 5.8100, 9.1190 Å; angles 71.42, 71.42, 60.00 degrees
Last column: magnetic moment on the atom in μB.
Positions (direct):
1 K 0.5000 0.5000 0.5000  0.00
2 Li 0.7646 0.7646 0.7063  0.00
3 Li 0.2354 0.2354 0.2937  0.00
4 Mo 0.9251 0.9251 0.2247  0.54
5 Mo 0.0749 0.0749 0.7753  0.54
6 O 0.1675 0.9475 0.2964  -0.01
7 O 0.5886 0.1675 0.2964  -0.01
8 O 0.9475 0.5886 0.2964  -0.01
9 O 0.4114 0.0525 0.7036  -0.01
10 O 0.8325 0.4114 0.7036  -0.01
11 O 0.0000 0.0000 0.0000  -0.06
12 O 0.0525 0.8325 0.7036  -0.01

Number 1: E -5.763 eV per atom, total magnetization 1.0 μB/f.u.. Number 2: E -6.236 eV per atom, total magnetization 1.0 μB/f.u..